TbMgTe3Au | PBE-GGA | optimized geometry

For the density, the calculation gives 7.07 g/cm3. The total magnetization comes out at 0.00 μB/atom. The final energy comes out at -3.960 eV per atom. Its energy above the most stable polymorph in this dataset is 0 meV per atom.

Cell: 4.205 15.212 11.205 Å, 90.00 90.00 90.00°
Space group Cmcm (No. 63)
Inequivalent atoms, fractional coordinates:
Tb1 0.000 0.000 0.000 x4
Mg1 0.000 0.147 0.250 x4
Te1 0.000 0.096 0.750 x4
Te2 0.000 0.352 0.561 x8
Au1 0.000 0.479 0.750 x4

---

CsNa2Tm2BP2O11 | PBE-GGA | optimized geometry

For the density, the calculation gives 4.81 g/cm3. The total magnetization comes out at 0.00 μB/atom. The final energy comes out at -7.188 eV per atom.

Cell: 6.878 14.566 10.560 Å, 90.00 90.00 90.00°
Space group Cmcm (No. 63)
Inequivalent atoms, fractional coordinates:
Cs1 0.000 0.019 0.250 x4
Na1 0.245 0.256 0.250 x8
Tm1 0.000 0.381 0.032 x8
B1 0.000 0.485 0.250 x4
P1 0.000 0.182 0.525 x8
O1 0.000 0.223 0.110 x8
O2 0.000 0.268 0.614 x8
O3 0.000 0.389 0.250 x4
O4 0.000 0.474 0.633 x8
O5 0.181 0.123 0.551 x16

---

Tm2CoCuN2 | PBE-GGA | optimized geometry

For the density, the calculation gives 9.66 g/cm3. The total magnetization comes out at 0.00 μB/atom. The final energy comes out at -6.932 eV per atom.

Cell: 3.500 3.714 6.456 Å, 90.00 90.00 90.00°
Space group Pmmm (No. 47)
Inequivalent atoms, fractional coordinates:
Tm1 0.000 0.000 0.248 x2
Co1 0.500 0.500 0.000 x1
Cu1 0.500 0.500 0.500 x1
N1 0.000 0.500 0.000 x1
N2 0.500 0.000 0.500 x1

---

Pa2Ag2O5 | PBE-GGA | optimized geometry

For the density, the calculation gives 10.45 g/cm3. The total magnetization comes out at 0.23 μB/atom. The final energy comes out at -6.437 eV per atom. Its energy above the most stable polymorph in this dataset is 787 meV per atom.

Cell: 4.164 4.164 6.943 Å, 90.00 90.00 90.00°
Space group P4/mmm (No. 123)
Inequivalent atoms, fractional coordinates:
Pa1 0.000 0.000 0.000 x1
Pa2 0.000 0.000 0.500 x1
Ag1 0.500 0.500 0.186 x2
O1 0.000 0.500 0.243 x4
O2 0.500 0.500 0.500 x1

---

SrBeCuP2 | PBE-GGA | optimized geometry

For the density, the calculation gives 4.27 g/cm3. The final energy comes out at -4.562 eV per atom.

Cell: 3.775 3.775 12.126 Å, 90.00 90.00 90.00°
Space group I-4m2 (No. 119)
Inequivalent atoms, fractional coordinates:
Sr1 0.000 0.000 0.000 x2
Be1 0.000 0.500 0.250 x2
Cu1 0.000 0.500 0.750 x2
P1 0.000 0.000 0.359 x4

---

LiMgAs2Au2 | PBE-GGA | optimized geometry

For the density, the calculation gives 8.33 g/cm3. The final energy comes out at -3.514 eV per atom.

Cell: 4.250 4.250 6.344 Å, 90.00 90.00 90.00°
Space group P4mm (No. 99)
Inequivalent atoms, fractional coordinates:
Li1 0.000 0.000 0.000 x1
Mg1 0.500 0.500 0.395 x1
As1 0.000 0.000 0.417 x1
As2 0.500 0.500 0.975 x1
Au1 0.000 0.500 0.707 x2

---

ErGeAuO3 | PBE-GGA | optimized geometry

For the density, the calculation gives 6.12 g/cm3. The total magnetization comes out at 0.00 μB/atom. The final energy comes out at -5.074 eV per atom.

Cell: 4.411 12.420 9.609 Å, 90.00 90.00 90.00°
Space group Cmcm (No. 63)
Inequivalent atoms, fractional coordinates:
Er1 0.000 0.000 0.000 x4
Ge1 0.000 0.170 0.250 x4
Au1 0.000 0.425 0.750 x4
O1 0.000 0.086 0.679 x8
O2 0.000 0.303 0.250 x4

---

BiPW4C2 | PBE-GGA | optimized geometry

For the density, the calculation gives 14.07 g/cm3. The total magnetization comes out at 0.00 μB/atom. The final energy comes out at -9.708 eV per atom.

Cell: 3.2630 3.2630 12.7875 Å, 90.00 90.00 120.00°
Space group P-6m2 (No. 187)
Inequivalent atoms, fractional coordinates:
Bi1 0.0000 0.0000 0.0000 x1
P1 0.3333 0.6667 0.5000 x1
W1 0.0000 0.0000 0.3715 x2
W2 0.3333 0.6667 0.2031 x2
C1 0.6667 0.3333 0.2722 x2

---

PrSmAl2Si2 | PBE-GGA | optimized geometry

For the density, the calculation gives 5.14 g/cm3. The total magnetization comes out at 0.00 μB/atom. The final energy comes out at -5.300 eV per atom.

Cell: 4.220 4.222 14.566 Å, 90.00 90.00 90.00°
Space group Imm2 (No. 44)
Inequivalent atoms, fractional coordinates:
Pr1 0.000 0.000 0.000 x2
Sm1 0.000 0.500 0.750 x2
Al1 0.000 0.000 0.416 x2
Al2 0.000 0.500 0.166 x2
Si1 0.000 0.000 0.582 x2
Si2 0.000 0.500 0.331 x2

---

GdInB | PBE-GGA | optimized geometry

For the density, the calculation gives 6.99 g/cm3. The total magnetization comes out at 0.00 μB/atom. The final energy comes out at -3.834 eV per atom. Its energy above the most stable polymorph in this dataset is 852 meV per atom.

Cell: 6.452 6.452 6.452 Å, 90.00 90.00 90.00°
Space group F-43m (No. 216)
Inequivalent atoms, fractional coordinates:
Gd1 0.000 0.000 0.000 x4
In1 0.250 0.250 0.750 x4
B1 0.000 0.000 0.500 x4

---

PuTcTe | PBE-GGA | optimized geometry

For the density, the calculation gives 10.79 g/cm3. The total magnetization comes out at 1.20 μB/atom. The final energy comes out at -8.651 eV per atom. Its energy above the most stable polymorph in this dataset is 297 meV per atom.

Cell: 6.612 6.612 6.612 Å, 90.00 90.00 90.00°
Space group F-43m (No. 216)
Inequivalent atoms, fractional coordinates:
Pu1 0.000 0.000 0.000 x4
Tc1 0.250 0.250 0.750 x4
Te1 0.250 0.250 0.250 x4

---

Li4NbBO6 | PBE-GGA | optimized geometry

For the density, the calculation gives 3.64 g/cm3. The total magnetization comes out at 0.00 μB/atom. The final energy comes out at -6.696 eV per atom.

Cell: 4.860 9.048 4.961 Å, 90.00 107.86 90.00°
Space group C2 (No. 5)
Inequivalent atoms, fractional coordinates:
Li1 0.000 0.000 0.000 x2
Li2 0.000 0.123 0.500 x2
Li3 0.000 0.516 0.500 x2
Li4 0.000 0.805 0.500 x2
Nb1 0.000 0.335 0.000 x2
B1 0.000 0.708 0.000 x2
O1 0.193 0.649 0.832 x4
O2 0.226 0.796 0.225 x4
O3 0.246 0.457 0.274 x4

---

KRbInAg3 | PBE-GGA | optimized geometry

For the density, the calculation gives 5.20 g/cm3. The final energy comes out at -2.269 eV per atom.

Cell: 5.746 6.726 9.295 Å, 90.00 90.00 90.00°
Space group Pmma (No. 51)
Inequivalent atoms, fractional coordinates:
K1 0.250 0.000 0.126 x2
Rb1 0.250 0.500 0.360 x2
In1 0.250 0.500 0.928 x2
Ag1 0.000 0.000 0.500 x2
Ag2 0.250 0.208 0.718 x4

---

Mg2Zr2Ni3 | PBE-GGA | optimized geometry

For the density, the calculation gives 5.67 g/cm3. The total magnetization comes out at 0.00 μB/atom. The final energy comes out at -5.521 eV per atom.

Cell: 4.3994 4.3994 21.3254 Å, 90.00 90.00 120.00°
Space group R3m (No. 160, hexagonal axes)
Inequivalent atoms, fractional coordinates:
Mg1 0.0000 0.0000 0.0000 x3
Mg2 0.0000 0.0000 0.4955 x3
Zr1 0.0000 0.0000 0.2437 x3
Zr2 0.0000 0.0000 0.7499 x3
Ni1 0.0000 0.0000 0.3687 x3
Ni2 0.0000 0.0000 0.6239 x3
Ni3 0.0000 0.0000 0.8751 x3

---

Ac3Ge3Pt2 | PBE-GGA | optimized geometry

For the density, the calculation gives 10.20 g/cm3. The total magnetization comes out at 0.00 μB/atom. The final energy comes out at -5.760 eV per atom.

Cell: 4.459 11.568 16.274 Å, 90.00 90.00 90.00°
Space group Cmcm (No. 63)
Inequivalent atoms, fractional coordinates:
Ac1 0.000 0.075 0.250 x4
Ac2 0.000 0.356 0.092 x8
Ge1 0.000 0.083 0.050 x8
Ge2 0.000 0.214 0.750 x4
Pt1 0.000 0.355 0.621 x8

---

CsCuAsAu | PBE-GGA | optimized geometry

For the density, the calculation gives 7.95 g/cm3. The final energy comes out at -2.496 eV per atom. Its energy above the most stable polymorph in this dataset is 37 meV per atom.

Cell: 7.313 7.313 7.313 Å, 90.00 90.00 90.00°
Space group F-43m (No. 216)
Inequivalent atoms, fractional coordinates:
Cs1 0.000 0.000 0.000 x4
Cu1 0.250 0.250 0.250 x4
As1 0.250 0.250 0.750 x4
Au1 0.000 0.000 0.500 x4

---

ScHg2Se | PBE-GGA | optimized geometry

For the density, the calculation gives 8.62 g/cm3. The total magnetization comes out at 0.04 μB/atom. The final energy comes out at -2.382 eV per atom.

Cell: 3.058 3.058 10.820 Å, 90.00 90.00 90.00°
Space group P4/mmm (No. 123)
Inequivalent atoms, fractional coordinates:
Sc1 0.000 0.000 0.000 x1
Hg1 0.000 0.000 0.263 x2
Se1 0.500 0.500 0.500 x1

---

PrGe2Pt2 | PBE-GGA | optimized geometry

For the density, the calculation gives 11.50 g/cm3. The total magnetization comes out at 0.00 μB/atom. The final energy comes out at -6.157 eV per atom.

Cell: 4.411 4.411 10.036 Å, 90.00 90.00 90.00°
Space group P4/nmm (No. 129, origin choice 2)
Inequivalent atoms, fractional coordinates:
Pr1 0.250 0.250 0.248 x2
Ge1 0.250 0.250 0.629 x2
Ge2 0.250 0.750 0.000 x2
Pt1 0.250 0.250 0.876 x2
Pt2 0.250 0.750 0.500 x2

---

Nd6OsO12 | PBE-GGA | optimized geometry

For the density, the calculation gives 7.24 g/cm3. The total magnetization comes out at 0.11 μB/atom. The final energy comes out at -8.120 eV per atom.

Cell: 10.1154 10.1154 9.6870 Å, 90.00 90.00 120.00°
Space group R-3 (No. 148, hexagonal axes)
Inequivalent atoms, fractional coordinates:
Nd1 0.0464 0.7896 0.1458 x18
Os1 0.0000 0.0000 0.5000 x3
O1 0.0373 0.8119 0.9030 x18
O2 0.0407 0.8599 0.3915 x18

---

CsHoSc | PBE-GGA | optimized geometry

For the density, the calculation gives 5.29 g/cm3. The total magnetization comes out at 0.01 μB/atom. The final energy comes out at -2.519 eV per atom. Its energy above the most stable polymorph in this dataset is 96 meV per atom.

Cell: 7.548 7.548 7.548 Å, 90.00 90.00 90.00°
Space group F-43m (No. 216)
Inequivalent atoms, fractional coordinates:
Cs1 0.000 0.000 0.000 x4
Ho1 0.250 0.250 0.250 x4
Sc1 0.250 0.250 0.750 x4